This record from Alexandria describes crystalline LiYHo2Te4 at its relaxed geometry. The functional is PBE.

Computed properties:
The calculation puts the theoretical density at 6.8 g cm⁻³. For the energy relative to the elements, uncorrected, the calculation gives -1.30 eV per atom. For the total magnetization, the calculation gives 0.000 Bohr magnetons per cell. For the density of states at the Fermi level, the calculation gives 0.39 states/eV per atom.

a = 4.3070 Å, b = 7.5123 Å, c = 7.5017 Å
α = 109.17°, β = 90.00°, γ = 90.00°
Closest atoms and distances in Å follow each position.
Positions (direct):
Li (0.0000, 0.0000, 0.0000)  6 Te 3.00-3.02
Te (0.5000, 0.7577, 0.7562)  2 Li 3.02, 3 Ho 3.05-3.10, 1 Y 3.07
Te (0.0000, 0.7563, 0.2467)  1 Li 3.00, 3 Ho 3.05-3.12, 2 Y 3.07
Te (0.0000, 0.2437, 0.7533)  1 Li 3.00, 3 Ho 3.05-3.12, 2 Y 3.07
Te (0.5000, 0.2423, 0.2438)  2 Li 3.02, 3 Ho 3.05-3.10, 1 Y 3.07
Ho (0.0000, 0.5000, 0.5000)  6 Te 3.10-3.12
Ho (0.5000, 0.0000, 0.5000)  6 Te 3.05
Y (0.5000, 0.5000, 0.0000)  6 Te 3.07